No. 1
SmMg2CuS4 (GGA-PBE, relaxed); crystal system = orthorhombic; SG = Cmcm; E = -4.924 eV/atom; M_tot = 0.0 μB per formula unit; mass density = 4293 kg/m3; V = 18.9 Å³/atom
1.0
1.8904 -6.2239 0.0000
1.8904 6.2239 0.0000
0.0000 0.0000 12.8458
Sm Mg Cu S
2 4 2 8
Cartesian
1.8904 4.7196 9.6343
1.8904 -4.7196 3.2114
1.8904 1.5669 7.1571
1.8904 1.5669 12.1116
1.8904 -1.5669 0.7342
1.8904 -1.5669 5.6887
1.8904 4.3743 3.2114
1.8904 -4.3743 9.6343
0.0000 0.0000 0.0000
0.0000 0.0000 6.4229
1.8904 2.8107 1.4944
1.8904 2.8107 4.9285
1.8904 0.5681 9.6343
1.8904 -0.5681 3.2114
1.8904 -2.8107 7.9172
1.8904 -2.8107 11.3514

=====

No. 2
SmMgCuS3 (GGA-PBE, relaxed); crystal system = monoclinic; SG = P2_1/m; E = -5.174 eV/atom; M_tot = 0.0 μB per formula unit; mass density = 4737 kg/m3; V = 19.5 Å³/atom
1.0
7.6429 0.0000 0.0000
0.0000 3.7797 0.0000
-1.8856 0.0000 8.1153
Sm Mg Cu S
2 2 2 6
Cartesian
0.9906 0.9449 1.9566
4.7668 2.8348 6.1587
1.0001 2.8348 6.8378
4.7573 0.9449 1.2776
-0.4371 0.9449 4.7515
6.1945 2.8348 3.3639
-0.8978 0.9449 7.0225
0.8660 2.8348 4.1670
2.9627 2.8348 1.2665
2.7946 0.9449 6.8488
4.8914 0.9449 3.9483
6.6551 2.8348 1.0929

=====

No. 3
TbMgCuS3 (GGA-PBE, relaxed); crystal system = monoclinic; SG = P2_1/m; E = -5.158 eV/atom; M_tot = 0.0 μB per formula unit; mass density = 4983 kg/m3; V = 19.0 Å³/atom
1.0
7.5809 0.0000 0.0000
0.0000 3.7327 0.0000
-1.8332 0.0000 8.0781
Tb Mg Cu S
2 2 2 6
Cartesian
0.9808 0.9332 1.9405
4.7669 2.7995 6.1377
1.0296 2.7995 6.7875
4.7181 0.9332 1.2906
-0.4023 0.9332 4.7263
6.1500 2.7995 3.3518
-0.8830 0.9332 6.9903
0.9078 2.7995 4.1171
2.9119 2.7995 1.2530
2.8358 0.9332 6.8251
4.8399 0.9332 3.9610
6.6307 2.7995 1.0878

=====

No. 4
MgZn2CuS4 (GGA-PBE, relaxed); crystal system = tetragonal; SG = I-42m; E = -3.829 eV/atom; M_tot = 0.0 μB per formula unit; mass density = 3543 kg/m3; V = 20.3 Å³/atom; DOS(E_F) = 0.804 states/eV/atom
1.0
-2.7081 2.7081 5.5433
2.7081 -2.7081 5.5433
2.7081 2.7081 -5.5433
Mg Zn Cu S
1 2 1 4
Cartesian
0.0000 0.0000 0.0000
2.7081 0.0000 2.7716
0.0000 2.7081 2.7716
0.0000 0.0000 5.5433
1.2856 -1.2856 4.1344
1.4224 1.4224 1.4089
-1.2856 1.2856 4.1344
1.2856 1.2856 6.9521

=====

No. 5
Mg14CuSb (GGA-PBE, relaxed); crystal system = orthorhombic; E above lowest polymorph = 0.12 eV/f.u.; SG = Amm2; E = -1.918 eV/atom; M_tot = 0.0 μB per formula unit; mass density = 2468 kg/m3; V = 22.1 Å³/atom; DOS(E_F) = 0.508 states/eV/atom
1.0
10.1062 0.0000 0.0000
0.0000 3.2193 5.4338
0.0000 -3.2193 5.4338
Mg Cu Sb
14 1 1
Cartesian
0.0000 0.0000 0.0000
0.0000 -1.6214 8.1138
0.0000 0.0000 5.4234
0.0000 1.6214 8.1138
2.5029 0.0000 8.9963
2.6025 0.0000 3.6011
2.6723 -1.5428 6.2761
2.6723 1.5428 6.2761
5.0531 -1.6106 2.7923
5.0531 1.6106 2.7923
7.4339 -1.5428 6.2761
7.4339 1.5428 6.2761
7.5037 0.0000 3.6011
7.6033 0.0000 8.9963
5.0531 0.0000 5.2877
5.0531 0.0000 10.8648

=====

No. 6
MgCuSb2 (GGA-PBE, relaxed); crystal system = monoclinic; SG = Pm; E = -3.464 eV/atom; M_tot = 0.0 μB per formula unit; mass density = 6262 kg/m3; V = 22.0 Å³/atom; DOS(E_F) = 0.381 states/eV/atom
1.0
4.1232 0.0000 0.0000
0.0000 4.0827 0.0000
-1.9426 0.0000 5.2198
Mg Cu Sb
1 1 2
Cartesian
0.0000 0.0000 0.0000
0.3864 2.0414 1.8439
0.0766 2.0414 4.5407
2.3222 0.0000 2.2931

=====

No. 7
Mg2Cu2Sb (GGA-PBE, relaxed); crystal system = tetragonal; E above lowest polymorph = 1.05 eV/f.u.; SG = P4/mbm; E = -3.010 eV/atom; M_tot = 0.0 μB per formula unit; mass density = 5223 kg/m3; V = 18.9 Å³/atom; DOS(E_F) = 0.427 states/eV/atom
1.0
7.7689 0.0000 0.0000
0.0000 7.7689 0.0000
0.0000 0.0000 3.1338
Mg Cu Sb
4 4 2
Cartesian
1.2326 2.6519 0.0000
2.6519 6.5363 0.0000
5.1171 1.2326 0.0000
6.5363 5.1171 0.0000
0.9691 4.8535 1.5669
2.9154 0.9691 1.5669
4.8535 6.7999 1.5669
6.7999 2.9154 1.5669
0.0000 0.0000 0.0000
3.8845 3.8845 0.0000

=====

No. 8
MgCu2Sb (GGA-PBE, relaxed); crystal system = orthorhombic; SG = Pmmm; E = -3.473 eV/atom; M_tot = 0.0 μB per formula unit; mass density = 6171 kg/m3; V = 18.4 Å³/atom; DOS(E_F) = 0.286 states/eV/atom
1.0
3.2214 0.0000 0.0000
0.0000 4.2816 0.0000
0.0000 0.0000 5.3290
Mg Cu Sb
1 2 1
Cartesian
0.0000 0.0000 0.0000
1.6107 2.1408 1.1942
1.6107 2.1408 4.1348
1.6107 0.0000 2.6645

=====

No. 9
MgCuSb2 (GGA-PBE, relaxed); crystal system = monoclinic; SG = P2/m; E = -3.453 eV/atom; M_tot = 0.0 μB per formula unit; mass density = 5882 kg/m3; V = 23.4 Å³/atom; DOS(E_F) = 0.449 states/eV/atom
1.0
4.1364 0.0000 0.0000
0.0000 4.0665 0.0000
-1.9631 0.0000 5.5612
Mg Cu Sb
1 1 2
Cartesian
0.0000 0.0000 0.0000
-0.9816 0.0000 2.7806
0.1593 2.0333 4.0438
2.0139 2.0333 1.5173

=====

No. 10
Mg2Cu2Sb (GGA-PBE, relaxed); crystal system = tetragonal; E above lowest polymorph = 0.55 eV/f.u.; SG = I4/mmm; E = -3.109 eV/atom; M_tot = 0.0 μB per formula unit; mass density = 4996 kg/m3; V = 19.8 Å³/atom; DOS(E_F) = 0.320 states/eV/atom
1.0
-1.7045 1.7045 8.5080
1.7045 -1.7045 8.5080
1.7045 1.7045 -8.5080
Mg Cu Sb
2 2 1
Cartesian
0.0000 0.0000 2.1009
0.0000 0.0000 14.9150
1.7045 0.0000 4.2540
0.0000 1.7045 4.2540
0.0000 0.0000 8.5080

=====

No. 11
MgCuSb2 (GGA-PBE, relaxed); crystal system = orthorhombic; SG = Immm; E = -3.418 eV/atom; M_tot = 0.0 μB per formula unit; mass density = 6158 kg/m3; V = 22.3 Å³/atom; DOS(E_F) = 0.407 states/eV/atom
1.0
-2.0250 2.6425 4.1750
2.0250 -2.6425 4.1750
2.0250 2.6425 -4.1750
Mg Cu Sb
1 1 2
Cartesian
0.0000 0.0000 0.0000
0.0000 0.0000 4.1750
2.0250 0.0000 2.3818
0.0000 2.6425 1.7932

=====

No. 12
MgCu2Sb2 (GGA-PBE, relaxed); crystal system = tetragonal; E above lowest polymorph = 0.58 eV/f.u.; SG = P4/mbm; E = -3.464 eV/atom; M_tot = 0.0 μB per formula unit; mass density = 6359 kg/m3; V = 20.6 Å³/atom; DOS(E_F) = 0.587 states/eV/atom
1.0
7.9293 0.0000 0.0000
0.0000 7.9293 0.0000
0.0000 0.0000 3.2805
Mg Cu Sb
2 4 4
Cartesian
0.0000 0.0000 0.0000
3.9646 3.9646 0.0000
0.9184 3.0463 1.6403
3.0463 7.0109 1.6403
4.8830 0.9184 1.6403
7.0109 4.8830 1.6403
1.3853 5.3499 0.0000
2.5793 1.3853 0.0000
5.3499 6.5440 0.0000
6.5440 2.5793 0.0000